Material: Ce2TiH
Method: DFT, GGA-PBE
State: relaxed

* calculated total energy: -5.702 eV/atom
* magnetic moment: 0.6 μB per formula unit

```
Ce2TiH
1.0
3.0609 0.0000 0.0000
1.5304 2.6508 0.0000
1.5304 0.8836 8.8258
H Ce Ti
1 2 1
Direct
0.5000 0.5000 0.5000 H
0.1031 0.1031 0.6906 Ce
0.8969 0.8969 0.3094 Ce
0.0000 0.0000 0.0000 Ti
```